Record 1
## ScTiHg (PBE)

Data for crystalline ScTiHg at its relaxed geometry.

POSCAR file:
```
ScTiHg
1.0
3.173 0.000 0.000
0.000 3.173 0.000
0.000 0.000 12.139
Sc Ti Hg
2 2 2
direct
0.000 0.000 0.000 Sc
0.500 0.500 0.500 Sc
0.000 0.000 0.662 Ti
0.500 0.500 0.162 Ti
0.000 0.000 0.322 Hg
0.500 0.500 0.822 Hg
```

Properties
The total energy is -29.97 eV for the cell shown. Its symmetry is I4mm, No. 107. The calculated volume comes out at 122.23 Å³ per cell. The value obtained for the relative energy among the computed polymorphs is 14 meV/atom.

***

Record 2
## ScTi2Hg2 (PBE)

Data for crystalline ScTi2Hg2 at its relaxed geometry.

POSCAR file:
```
ScTi2Hg2
1.0
7.765 0.000 0.000
0.000 7.765 0.000
0.000 0.000 3.412
Sc Ti Hg
2 4 4
direct
0.000 0.000 0.000 Sc
0.500 0.500 0.000 Sc
0.166 0.334 0.500 Ti
0.334 0.834 0.500 Ti
0.666 0.166 0.500 Ti
0.834 0.666 0.500 Ti
0.134 0.634 0.000 Hg
0.366 0.134 0.000 Hg
0.634 0.866 0.000 Hg
0.866 0.366 0.000 Hg
```

Properties
The total energy is -45.13 eV for the cell shown. Its symmetry is P4/mbm, No. 127. The calculated volume comes out at 205.72 Å³ per cell. The value obtained for the relative energy among the computed polymorphs is 8 meV/atom.

***

Record 3
## Sc3TiHg (PBE)

Data for crystalline Sc3TiHg at its relaxed geometry.

POSCAR file:
```
Sc3TiHg
1.0
4.998 0.000 0.000
0.000 4.998 0.000
0.000 0.000 4.998
Sc Ti Hg
3 1 1
direct
0.000 0.000 0.500 Sc
0.000 0.500 0.000 Sc
0.500 0.000 0.000 Sc
0.000 0.000 0.000 Ti
0.500 0.500 0.500 Hg
```

Properties
The total energy is -24.66 eV for the cell shown. Its symmetry is Pm-3m, No. 221. The calculated volume comes out at 124.87 Å³ per cell. The value obtained for the relative energy among the computed polymorphs is 0 meV/atom.

***

Record 4
## ScTiTlHg (PBE)

Data for crystalline ScTiTlHg at its relaxed geometry.

POSCAR file:
```
ScTiTlHg
1.0
6.980 0.000 0.000
0.000 6.980 0.000
0.000 0.000 6.980
Sc Ti Tl Hg
4 4 4 4
direct
0.000 0.000 0.000 Sc
0.000 0.500 0.500 Sc
0.500 0.000 0.500 Sc
0.500 0.500 0.000 Sc
0.000 0.000 0.500 Ti
0.000 0.500 0.000 Ti
0.500 0.000 0.000 Ti
0.500 0.500 0.500 Ti
0.250 0.250 0.750 Tl
0.250 0.750 0.250 Tl
0.750 0.250 0.250 Tl
0.750 0.750 0.750 Tl
0.250 0.250 0.250 Hg
0.250 0.750 0.750 Hg
0.750 0.250 0.750 Hg
0.750 0.750 0.250 Hg
```

Properties
The total energy is -69.08 eV for the cell shown. Its symmetry is F-43m, No. 216. The calculated volume comes out at 340.01 Å³ per cell.

***

Record 5
## ScTi2HgW (PBE)

Data for crystalline ScTi2HgW at its relaxed geometry.

POSCAR file:
```
ScTi2HgW
1.0
4.879 0.000 0.000
0.000 4.879 0.000
0.000 0.000 5.022
Sc Ti Hg W
1 2 1 1
direct
0.000 0.000 0.000 Sc
0.000 0.500 0.500 Ti
0.500 0.000 0.500 Ti
0.000 0.000 0.500 Hg
0.500 0.500 0.000 W
```

Properties
The total energy is -27.37 eV for the cell shown. Its symmetry is P4/mmm, No. 123. The calculated volume comes out at 119.57 Å³ per cell.

***

Record 6
## Sc2TiZnHg (PBE)

Data for crystalline Sc2TiZnHg at its relaxed geometry.

POSCAR file:
```
Sc2TiZnHg
1.0
4.900 0.000 0.000
0.000 4.900 0.000
0.000 0.000 5.207
Sc Ti Zn Hg
2 1 1 1
direct
0.000 0.500 0.000 Sc
0.500 0.000 0.000 Sc
0.000 0.000 0.000 Ti
0.500 0.500 0.500 Zn
0.000 0.000 0.500 Hg
```

Properties
The total energy is -18.81 eV for the cell shown. Its symmetry is P4/mmm, No. 123. The calculated volume comes out at 125.03 Å³ per cell.

***

no.,E_form (eV per formula unit)
1,-0.46
2,0.16
3,2.54
4,-0.37
5,8.01
6,3.32